DFT (PBE-GGA) results for a relaxed structure of Ba2GaSnSe.

Its uncorrected formation energy is -2.3 eV per formula unit. As for the total energy: -3.33 eV/atom.

```
data_Ba2GaSnSe
_chemical_formula_sum 'Ba2 Ga1 Sn1 Se1'
_cell_length_a 6.1886
_cell_length_b 6.1886
_cell_length_c 5.5945
_cell_angle_alpha 90.00
_cell_angle_beta 90.00
_cell_angle_gamma 90.00
_space_group_name_H-M_alt 'P 4/m m m'
_space_group_IT_number 123
_space_group_name_Hall '-P 4 2'
loop_
_atom_site_label
_atom_site_type_symbol
_atom_site_fract_x
_atom_site_fract_y
_atom_site_fract_z
_atom_site_occupancy
Ba1 Ba 0.0000 0.5000 0.0000 1
Ga1 Ga 0.0000 0.0000 0.5000 1
Sn1 Sn 0.5000 0.5000 0.5000 1
Se1 Se 0.5000 0.5000 0.0000 1
```